1.
# Bi3HPb2 | Alexandria via LeMat-Bulk | PBE-GGA | optimized geometry
# E_tot: -3.592 eV/atom
# Size of the total moment: 0.00 μB/cell
data_Bi3HPb2
_chemical_formula_sum 'Bi6 H2 Pb4'
_symmetry_space_group_name_H-M 'P 1'
_symmetry_Int_Tables_number 1
_symmetry_space_group_name_Hall 'P 1'
_cell_length_a 6.914
_cell_length_b 7.424
_cell_length_c 7.976
_cell_angle_alpha 90.90
_cell_angle_beta 104.66
_cell_angle_gamma 115.08
loop_
_atom_site_label
_atom_site_fract_x
_atom_site_fract_y
_atom_site_fract_z
_atom_site_occupancy
Bi1 0.244 0.373 0.213 1
Bi2 0.250 0.798 0.368 1
Bi3 0.254 0.005 0.960 1
Bi4 0.746 0.995 0.040 1
Bi5 0.750 0.202 0.632 1
Bi6 0.756 0.627 0.787 1
H1 0.240 0.681 0.582 1
H2 0.760 0.319 0.418 1
Pb1 0.251 0.566 0.847 1
Pb2 0.261 0.195 0.598 1
Pb3 0.739 0.805 0.402 1
Pb4 0.749 0.434 0.153 1

2.
# Er2RuC2 | Alexandria via LeMat-Bulk | PBE-GGA | optimized geometry
# ΔE to the lowest computed polymorph: 0 meV per atom
# Formation energy: -1.80 eV/f.u.
# Size of the total moment: 0.00 μB/cell
data_Er2RuC2
_chemical_formula_sum 'Er8 Ru4 C8'
_symmetry_space_group_name_H-M 'P 1'
_symmetry_Int_Tables_number 1
_symmetry_space_group_name_Hall 'P 1'
_cell_length_a 6.439
_cell_length_b 5.049
_cell_length_c 9.699
_cell_angle_alpha 90.00
_cell_angle_beta 90.00
_cell_angle_gamma 90.00
loop_
_atom_site_label
_atom_site_fract_x
_atom_site_fract_y
_atom_site_fract_z
_atom_site_occupancy
Er1 0.028 0.250 0.216 1
Er2 0.175 0.250 0.555 1
Er3 0.325 0.750 0.055 1
Er4 0.472 0.750 0.716 1
Er5 0.528 0.250 0.284 1
Er6 0.675 0.250 0.945 1
Er7 0.825 0.750 0.445 1
Er8 0.972 0.750 0.784 1
Ru1 0.218 0.250 0.866 1
Ru2 0.282 0.750 0.366 1
Ru3 0.718 0.250 0.634 1
Ru4 0.782 0.750 0.134 1
C1 0.046 0.750 0.242 1
C2 0.172 0.750 0.556 1
C3 0.328 0.250 0.056 1
C4 0.454 0.250 0.742 1
C5 0.546 0.750 0.258 1
C6 0.672 0.750 0.944 1
C7 0.828 0.250 0.444 1
C8 0.954 0.250 0.758 1

3.
# ZrPtW2 | Alexandria via LeMat-Bulk | PBE-GGA | optimized geometry
# ΔE to the lowest computed polymorph: 99 meV per atom
# Formation energy: -0.29 eV/f.u.
# Size of the total moment: 0.00 μB/cell
data_ZrPtW2
_chemical_formula_sum 'Zr1 Pt1 W2'
_symmetry_space_group_name_H-M 'P 1'
_symmetry_Int_Tables_number 1
_symmetry_space_group_name_Hall 'P 1'
_cell_length_a 5.342
_cell_length_b 5.342
_cell_length_c 5.342
_cell_angle_alpha 141.66
_cell_angle_beta 132.09
_cell_angle_gamma 62.96
loop_
_atom_site_label
_atom_site_fract_x
_atom_site_fract_y
_atom_site_fract_z
_atom_site_occupancy
Zr1 0.000 0.000 0.000 1
Pt1 0.500 0.500 0.000 1
W1 0.245 0.745 0.500 1
W2 0.755 0.255 0.500 1

4.
# LiIrRu | Alexandria via LeMat-Bulk | PBE-GGA | optimized geometry
# ΔE to the lowest computed polymorph: 83 meV per atom
# Formation energy: 0.20 eV/f.u.
# Size of the total moment: 0.00 μB/cell
data_LiIrRu
_chemical_formula_sum 'Li2 Ir2 Ru2'
_symmetry_space_group_name_H-M 'P 1'
_symmetry_Int_Tables_number 1
_symmetry_space_group_name_Hall 'P 1'
_cell_length_a 4.626
_cell_length_b 4.631
_cell_length_c 4.643
_cell_angle_alpha 98.59
_cell_angle_beta 99.34
_cell_angle_gamma 119.70
loop_
_atom_site_label
_atom_site_fract_x
_atom_site_fract_y
_atom_site_fract_z
_atom_site_occupancy
Li1 0.000 0.000 0.000 1
Li2 0.330 0.672 0.002 1
Ir1 0.676 0.347 0.014 1
Ir2 0.792 0.129 0.515 1
Ru1 0.123 0.794 0.477 1
Ru2 0.462 0.456 0.519 1

5.
# CaMgGa3 | Alexandria via LeMat-Bulk | PBE-GGA | optimized geometry
# Formation energy: 0.55 eV/f.u.
# Size of the total moment: 0.00 μB/cell
data_CaMgGa3
_chemical_formula_sum 'Ca1 Mg1 Ga3'
_symmetry_space_group_name_H-M 'P 1'
_symmetry_Int_Tables_number 1
_symmetry_space_group_name_Hall 'P 1'
_cell_length_a 5.071
_cell_length_b 5.071
_cell_length_c 5.071
_cell_angle_alpha 90.00
_cell_angle_beta 90.00
_cell_angle_gamma 90.00
loop_
_atom_site_label
_atom_site_fract_x
_atom_site_fract_y
_atom_site_fract_z
_atom_site_occupancy
Ca1 0.000 0.000 0.000 1
Mg1 0.500 0.500 0.500 1
Ga1 0.000 0.500 0.500 1
Ga2 0.500 0.000 0.500 1
Ga3 0.500 0.500 0.000 1

6.
# KRbHgAs2 | Alexandria via LeMat-Bulk | PBE-GGA | optimized geometry
# Formation energy: 3.16 eV/f.u.
# Size of the total moment: 1.68 μB/cell
data_KRbHgAs2
_chemical_formula_sum 'K1 Rb1 Hg1 As2'
_symmetry_space_group_name_H-M 'P 1'
_symmetry_Int_Tables_number 1
_symmetry_space_group_name_Hall 'P 1'
_cell_length_a 6.125
_cell_length_b 6.125
_cell_length_c 6.407
_cell_angle_alpha 90.00
_cell_angle_beta 90.00
_cell_angle_gamma 90.00
loop_
_atom_site_label
_atom_site_fract_x
_atom_site_fract_y
_atom_site_fract_z
_atom_site_occupancy
K1 0.000 0.000 0.000 1
Rb1 0.500 0.500 0.500 1
Hg1 0.500 0.500 0.000 1
As1 0.000 0.500 0.500 1
As2 0.500 0.000 0.500 1

7.
# RbGaC | Alexandria via LeMat-Bulk | PBE-GGA | optimized geometry
# Formation energy: 2.01 eV/f.u.
# Size of the total moment: 0.00 μB/cell
data_RbGaC
_chemical_formula_sum 'Rb4 Ga4 C4'
_symmetry_space_group_name_H-M 'P 1'
_symmetry_Int_Tables_number 1
_symmetry_space_group_name_Hall 'P 1'
_cell_length_a 7.545
_cell_length_b 3.594
_cell_length_c 10.457
_cell_angle_alpha 90.00
_cell_angle_beta 90.00
_cell_angle_gamma 90.00
loop_
_atom_site_label
_atom_site_fract_x
_atom_site_fract_y
_atom_site_fract_z
_atom_site_occupancy
Rb1 0.001 0.250 0.183 1
Rb2 0.499 0.750 0.683 1
Rb3 0.501 0.250 0.317 1
Rb4 0.999 0.750 0.817 1
Ga1 0.126 0.750 0.495 1
Ga2 0.374 0.250 0.995 1
Ga3 0.626 0.750 0.005 1
Ga4 0.874 0.250 0.505 1
C1 0.178 0.250 0.557 1
C2 0.322 0.750 0.057 1
C3 0.678 0.250 0.943 1
C4 0.822 0.750 0.443 1

8.
# SmYCo2 | Alexandria via LeMat-Bulk | PBE-GGA | optimized geometry
# ΔE to the lowest computed polymorph: 0 meV per atom
# Formation energy: -0.60 eV/f.u.
# Size of the total moment: 0.76 μB/cell
data_SmYCo2
_chemical_formula_sum 'Sm2 Y2 Co4'
_symmetry_space_group_name_H-M 'P 1'
_symmetry_Int_Tables_number 1
_symmetry_space_group_name_Hall 'P 1'
_cell_length_a 3.890
_cell_length_b 5.624
_cell_length_c 7.614
_cell_angle_alpha 90.00
_cell_angle_beta 90.00
_cell_angle_gamma 90.00
loop_
_atom_site_label
_atom_site_fract_x
_atom_site_fract_y
_atom_site_fract_z
_atom_site_occupancy
Sm1 0.000 0.133 0.000 1
Sm2 0.000 0.867 0.500 1
Y1 0.500 0.367 0.356 1
Y2 0.500 0.633 0.856 1
Co1 0.000 0.350 0.650 1
Co2 0.000 0.650 0.150 1
Co3 0.500 0.160 0.703 1
Co4 0.500 0.840 0.203 1

9.
# MgBe2ReAs | Alexandria via LeMat-Bulk | PBE-GGA | optimized geometry
# Formation energy: 4.97 eV/f.u.
# Size of the total moment: 0.30 μB/cell
data_MgBe2ReAs
_chemical_formula_sum 'Mg1 Be2 Re1 As1'
_symmetry_space_group_name_H-M 'P 1'
_symmetry_Int_Tables_number 1
_symmetry_space_group_name_Hall 'P 1'
_cell_length_a 4.249
_cell_length_b 4.249
_cell_length_c 4.662
_cell_angle_alpha 90.00
_cell_angle_beta 90.00
_cell_angle_gamma 90.00
loop_
_atom_site_label
_atom_site_fract_x
_atom_site_fract_y
_atom_site_fract_z
_atom_site_occupancy
Mg1 0.000 0.000 0.000 1
Be1 0.000 0.500 0.500 1
Be2 0.500 0.000 0.500 1
Re1 0.500 0.500 0.000 1
As1 0.500 0.500 0.500 1

10.
# PuGa2Pb | Alexandria via LeMat-Bulk | PBE-GGA | optimized geometry
# ΔE to the lowest computed polymorph: 0 meV per atom
# Formation energy: -0.96 eV/f.u.
# Size of the total moment: 5.60 μB/cell
data_PuGa2Pb
_chemical_formula_sum 'Pu1 Ga2 Pb1'
_symmetry_space_group_name_H-M 'P 1'
_symmetry_Int_Tables_number 1
_symmetry_space_group_name_Hall 'P 1'
_cell_length_a 4.535
_cell_length_b 4.535
_cell_length_c 4.400
_cell_angle_alpha 90.00
_cell_angle_beta 90.00
_cell_angle_gamma 90.00
loop_
_atom_site_label
_atom_site_fract_x
_atom_site_fract_y
_atom_site_fract_z
_atom_site_occupancy
Pu1 0.000 0.000 0.000 1
Ga1 0.000 0.500 0.500 1
Ga2 0.500 0.000 0.500 1
Pb1 0.500 0.500 0.000 1